[1]
Compound: VCuAs
Source: Alexandria
Functional: PBE
Structure: optimized geometry

Calculated values
ΔH_f (0 K) = 9.8 kJ/mol of atoms
Density = 6.781 g cm⁻³

a = 4.0542 Å, b = 4.0542 Å, c = 19.5520 Å
α = 90.00°, β = 90.00°, γ = 120.00°
Closest atoms and distances in Å follow each position.
Space group R-3m (No. 166, hexagonal axes)
Asymmetric unit:
V (0.0000, 0.0000, 0.1638) (multiplicity 6)  3 V 2.34
Cu (0.0000, 0.0000, 0.2993) (multiplicity 6)  4 As 2.43-2.58, 1 V 2.65, 3 Cu 2.69
As (0.0000, 0.0000, 0.4233) (multiplicity 6)  4 Cu 2.43-2.58

***

[2]
Compound: Ce2MnTl2S6
Source: Alexandria
Functional: PBE
Structure: optimized geometry

Calculated values
Density = 5.083 g cm⁻³
Uncorrected formation energy = -1.1599 eV per atom

a = 6.8483 Å, b = 11.8972 Å, c = 7.8438 Å
α = 90.00°, β = 106.82°, γ = 90.00°
Closest atoms and distances in Å follow each position.
Space group C2/m (No. 12)
Asymmetric unit:
Ce (0.0000, 0.1656, 0.0000) (multiplicity 4)  6 S 2.73-2.75
Mn (0.0000, 0.5000, 0.0000) (multiplicity 2)  6 S 2.54-2.66
Tl (0.0000, 0.3328, 0.5000) (multiplicity 4)  6 S 3.21-3.28
S (0.2252, 0.3367, 0.1929) (multiplicity 8)  1 Mn 2.66, 2 Ce 2.73
S (0.2472, 0.5000, 0.8127) (multiplicity 4)  1 Mn 2.54, 2 Ce 2.75

***

[3]
Compound: NaTaP
Source: Alexandria
Functional: PBE
Structure: optimized geometry

Calculated values
ΔH_f (0 K) = -43.0 kJ/mol of atoms
Density = 6.580 g cm⁻³

a = 3.9802 Å, b = 3.9802 Å, c = 7.4847 Å
α = 90.00°, β = 90.00°, γ = 90.00°
Closest atoms and distances in Å follow each position.
Space group P4/nmm (No. 129, origin choice 2)
Asymmetric unit:
Na (0.2500, 0.2500, 0.1348) (multiplicity 2)  5 P 3.01-3.08
Ta (0.2500, 0.7500, 0.5000) (multiplicity 2)  4 P 2.60, 4 Ta 2.81
P (0.2500, 0.2500, 0.7238) (multiplicity 2)  4 Ta 2.60

***

[4]
Compound: KAg2Ir
Source: Alexandria
Functional: PBE
Structure: optimized geometry

Calculated values
ΔH_f (0 K) = 82.9 kJ/mol of atoms
Density = 9.216 g cm⁻³

a = 6.8555 Å, b = 6.8555 Å, c = 6.8555 Å
α = 90.00°, β = 90.00°, γ = 90.00°
Closest atoms and distances in Å follow each position.
Space group F-43m (No. 216)
Asymmetric unit:
K (0.0000, 0.0000, 0.0000) (multiplicity 4)  4 Ag 2.97, 4 Ir 2.97
Ag (0.0000, 0.0000, 0.5000) (multiplicity 4)  4 Ir 2.97, 4 Ag 2.97
Ag (0.2500, 0.2500, 0.2500) (multiplicity 4)  4 K 2.97, 4 Ag 2.97
Ir (0.2500, 0.2500, 0.7500) (multiplicity 4)  4 K 2.97, 4 Ag 2.97

***

[5]
Compound: VAsBr2
Source: Alexandria
Functional: PBE
Structure: optimized geometry

Calculated values
Density = 5.733 g cm⁻³
Uncorrected formation energy = 0.5263 eV per atom

a = 6.9171 Å, b = 6.9171 Å, c = 6.9171 Å
α = 90.00°, β = 90.00°, γ = 90.00°
Closest atoms and distances in Å follow each position.
Space group Fm-3m (No. 225)
Asymmetric unit:
V (0.0000, 0.0000, 0.0000) (multiplicity 4)  8 Br 3.00
As (0.0000, 0.0000, 0.5000) (multiplicity 4)  8 Br 3.00
Br (0.2500, 0.2500, 0.2500) (multiplicity 8)  4 As 3.00, 4 V 3.00

***

[6]
Compound: BaFe3Br12
Source: Alexandria
Functional: PBE
Structure: optimized geometry

Calculated values
Density = 2.969 g cm⁻³
Uncorrected formation energy = -0.7502 eV per atom

a = 11.6766 Å, b = 11.6766 Å, c = 35.9116 Å
α = 90.00°, β = 90.00°, γ = 120.00°
Closest atoms and distances in Å follow each position.
Space group R3c (No. 161, hexagonal axes)
Asymmetric unit:
Ba (0.0000, 0.0000, 0.0000) (multiplicity 6)  9 Br 3.38-3.44
Fe (0.0087, 0.3741, 0.2790) (multiplicity 18)  4 Br 2.29-2.36
Br (0.0062, 0.4791, 0.3346) (multiplicity 18)  1 Fe 2.35
Br (0.0476, 0.5234, 0.4529) (multiplicity 18)  1 Fe 2.29
Br (0.0791, 0.5242, 0.2289) (multiplicity 18)  1 Fe 2.36
Br (0.0946, 0.5474, 0.1007) (multiplicity 18)  1 Fe 2.36

***

no.,DOS(E_F) (states/eV/atom)
1,0.6712
2,0.0681
3,0.5449
4,1.1478
5,1.3847
6,0.7946